Compound: TlPbO2
Source: Alexandria via LeMat-Bulk
Functional: PBE-GGA
Structure: relaxed

POSCAR file:
```
TlPbO2
1.0
0.000 3.199 3.199
3.199 0.000 3.199
3.199 3.199 0.000
Pb Tl O
1 1 2
Direct
0.500 0.500 0.500
0.000 0.000 0.000
0.250 0.250 0.250
0.750 0.750 0.750
```

Summary:
Crystal system   cubic
DFT total energy   -4.37 eV per atom
Space-group type   Fm-3m, No. 225
Formation energy without anion corrections   -0.38 eV per atom
Offset from the most stable computed form   143 kJ/mol of formula units